(1)
ScCuAu2: relaxed, PBE.

a b c (Å): 4.6292 3.0951 5.1683
angles (deg): 89.89 90.00 90.00
Sites, in units of the cell vectors:
Sc 0.5000 0.7489 0.7562
Au 0.0000 0.2480 0.9761
Au 0.5000 0.2478 0.2784
Cu 0.0000 0.2553 0.4893

DFT total energy = -4.596 eV/atom
SG = Pm (6)
Crystal system = monoclinic
Total magnetization = 0.00 μB per cell
Energy relative to the elements = -1.40 eV/f.u.

(2)
ScCuAu: relaxed, PBE.

a b c (Å): 4.3435 4.3435 4.3435
angles (deg): 60.00 60.00 60.00
Sites, in units of the cell vectors:
Au 0.5000 0.5000 0.5000
Cu 0.7500 0.7500 0.7500
Sc 0.0000 0.0000 0.0000

DFT total energy = -4.864 eV/atom
SG = F-43m (216)
Polymorph energy (0 for the lowest one) = 265 meV/atom
Crystal system = cubic
Total magnetization = 0.00 μB per cell
Energy relative to the elements = -0.89 eV/f.u.

(3)
ScCu2Au: relaxed, PBE.

a b c (Å): 4.0363 3.2065 5.2595
angles (deg): 72.23 90.00 90.00
Sites, in units of the cell vectors:
Sc 0.0000 0.4547 0.4654
Au 0.5000 0.7944 0.7856
Cu 0.5000 0.0619 0.2512
Cu 0.0000 0.1890 0.9977

DFT total energy = -4.700 eV/atom
SG = Amm2 (38)
Crystal system = orthorhombic
Total magnetization = 0.00 μB per cell
Energy relative to the elements = -1.00 eV/f.u.

(4)
ScCuAu2: relaxed, PBE.

a b c (Å): 5.0155 5.0155 5.0155
angles (deg): 131.87 131.92 70.40
Sites, in units of the cell vectors:
Au 0.0000 0.0000 0.0000
Sc 0.2499 0.7499 0.5000
Cu 0.5001 0.5001 0.0000
Au 0.7501 0.2501 0.5000

DFT total energy = -4.742 eV/atom
SG = I-4m2 (119)
Crystal system = tetragonal
Total magnetization = 0.00 μB per cell
Energy relative to the elements = -1.98 eV/f.u.

(5)
ScCu2Au: relaxed, PBE.

a b c (Å): 4.4520 4.4520 4.4520
angles (deg): 60.00 60.00 60.00
Sites, in units of the cell vectors:
Cu 0.2500 0.2500 0.2500
Sc 0.0000 0.0000 0.0000
Au 0.5000 0.5000 0.5000
Cu 0.7500 0.7500 0.7500

DFT total energy = -4.798 eV/atom
SG = Fm-3m (225)
Crystal system = cubic
Total magnetization = 0.00 μB per cell
Energy relative to the elements = -1.39 eV/f.u.

(6)
ScCu2Au: relaxed, PBE.

a b c (Å): 4.4881 3.0481 4.9908
angles (deg): 89.68 90.00 90.00
Sites, in units of the cell vectors:
Cu 0.0000 0.7581 0.0092
Cu 0.0000 0.7419 0.4908
Sc 0.5000 0.2500 0.2500
Au 0.5000 0.7500 0.7500

DFT total energy = -4.655 eV/atom
SG = P2/m (10)
Crystal system = monoclinic
Total magnetization = 0.00 μB per cell
Energy relative to the elements = -0.82 eV/f.u.

(7)
ScCuAu2: relaxed, PBE.

a b c (Å): 4.6113 4.6113 4.6113
angles (deg): 60.00 60.00 60.00
Sites, in units of the cell vectors:
Cu 0.5000 0.5000 0.5000
Au 0.2500 0.2500 0.2500
Sc 0.7500 0.7500 0.7500
Au 0.0000 0.0000 0.0000

DFT total energy = -4.687 eV/atom
SG = F-43m (216)
Crystal system = cubic
Total magnetization = 0.00 μB per cell
Energy relative to the elements = -1.77 eV/f.u.

(8)
ScCuAu: relaxed, PBE.

a b c (Å): 4.4146 4.4146 3.1680
angles (deg): 90.00 90.00 120.00
Sites, in units of the cell vectors:
Cu 0.6667 0.3333 0.1666
Sc 0.3333 0.6667 0.6668
Au 0.0000 0.0000 0.1666

DFT total energy = -5.027 eV/atom
SG = P-6m2 (187)
Polymorph energy (0 for the lowest one) = 102 meV/atom
Crystal system = hexagonal
Total magnetization = 0.00 μB per cell
Energy relative to the elements = -1.38 eV/f.u.

> Among the records above, which one has the highest energy relative to the elements?

number 6

> energy relative to the elements of number 3 (ScCu2Au)?

-1.00 eV/f.u.